Here is KNaAg2Br4 after structural relaxation from the Alexandria database. Energies are from GGA-PBE.

Values from the calculation:
symmetry	I222
E_form (uncorrected)	-0.9697	eV per atom

abc: 7.517 6.977 6.977
angles: 69.45 57.40 57.40
Fractional coordinates of all 8 atoms:
K (0.000, 0.000, 0.000)
Na (0.500, 0.500, 0.500)
Ag (0.173, 0.327, 0.327)
Ag (0.827, 0.673, 0.673)
Br (0.441, 0.117, 0.524)
Br (0.082, 0.883, 0.476)
Br (0.918, 0.524, 0.117)
Br (0.559, 0.476, 0.883)

---

Here is K4Na3AgBr8 after structural relaxation from the Alexandria database. Energies are from GGA-PBE.

Values from the calculation:
symmetry	C2/m
E_form (uncorrected)	-1.4781	eV per atom

abc: 8.882 8.969 8.937
angles: 119.80 119.80 90.00
Fractional coordinates of all 16 atoms:
K (0.500, 0.000, 0.000)
K (0.500, 0.000, 0.500)
K (0.000, 0.000, 0.000)
K (0.000, 0.000, 0.500)
Na (0.500, 0.500, 0.000)
Na (0.500, 0.500, 0.500)
Na (0.000, 0.500, 0.500)
Ag (0.000, 0.500, 0.000)
Br (0.237, 0.719, 0.983)
Br (0.242, 0.724, 0.484)
Br (0.258, 0.276, 0.517)
Br (0.746, 0.719, 0.983)
Br (0.254, 0.281, 0.017)
Br (0.742, 0.724, 0.483)
Br (0.758, 0.276, 0.516)
Br (0.763, 0.281, 0.017)

---

Here is KNa2AgBr4 after structural relaxation from the Alexandria database. Energies are from GGA-PBE.

Values from the calculation:
symmetry	Cmcm
E_form (uncorrected)	-1.2814	eV per atom

abc: 4.366 7.710 15.276
angles: 90.00 90.00 106.45
Fractional coordinates of all 16 atoms:
K (0.133, 0.265, 0.750)
K (0.867, 0.735, 0.250)
Na (0.376, 0.751, 0.551)
Na (0.624, 0.249, 0.051)
Na (0.624, 0.249, 0.449)
Na (0.376, 0.751, 0.949)
Ag (0.855, 0.710, 0.750)
Ag (0.145, 0.290, 0.250)
Br (0.260, 0.521, 0.113)
Br (0.740, 0.479, 0.613)
Br (0.740, 0.479, 0.887)
Br (0.260, 0.521, 0.387)
Br (0.000, 0.000, 0.500)
Br (0.000, 0.000, 0.000)
Br (0.462, 0.923, 0.750)
Br (0.538, 0.077, 0.250)

---

Here is K3NaAg2Br6 after structural relaxation from the Alexandria database. Energies are from GGA-PBE.

Values from the calculation:
symmetry	P-3m1
E_form (uncorrected)	-1.1155	eV per atom

abc: 8.327 8.327 8.430
angles: 90.00 90.00 120.00
Fractional coordinates of all 12 atoms:
K (0.333, 0.667, 0.602)
K (0.667, 0.333, 0.398)
K (0.000, 0.000, 0.000)
Na (0.000, 0.000, 0.500)
Ag (0.667, 0.333, 0.797)
Ag (0.333, 0.667, 0.203)
Br (0.681, 0.841, 0.283)
Br (0.159, 0.319, 0.283)
Br (0.159, 0.841, 0.283)
Br (0.841, 0.681, 0.717)
Br (0.319, 0.159, 0.717)
Br (0.841, 0.159, 0.717)

---

Here is KNaAg2Br5 after structural relaxation from the Alexandria database. Energies are from GGA-PBE.

Values from the calculation:
symmetry	P4/mmm
E_form (uncorrected)	-0.8625	eV per atom

abc: 5.255 5.255 10.408
angles: 90.00 90.00 90.00
Fractional coordinates of all 9 atoms:
K (0.000, 0.000, 0.500)
Na (0.000, 0.000, 0.000)
Ag (0.500, 0.500, 0.227)
Ag (0.500, 0.500, 0.773)
Br (0.000, 0.500, 0.185)
Br (0.500, 0.000, 0.185)
Br (0.000, 0.500, 0.815)
Br (0.500, 0.000, 0.815)
Br (0.500, 0.500, 0.500)

---

Here is KNaAgBr3 after structural relaxation from the Alexandria database. Energies are from GGA-PBE.

Values from the calculation:
symmetry	P2_1/m
E_form (uncorrected)	-1.2005	eV per atom

abc: 4.375 8.992 10.140
angles: 104.50 90.00 90.00
Fractional coordinates of all 12 atoms:
K (0.250, 0.198, 0.216)
K (0.750, 0.802, 0.784)
Na (0.250, 0.655, 0.136)
Na (0.750, 0.345, 0.864)
Ag (0.250, 0.090, 0.589)
Ag (0.750, 0.910, 0.411)
Br (0.750, 0.900, 0.144)
Br (0.250, 0.100, 0.856)
Br (0.250, 0.764, 0.483)
Br (0.750, 0.236, 0.517)
Br (0.750, 0.444, 0.162)
Br (0.250, 0.556, 0.838)

---

Here is K2NaAg2Br6 after structural relaxation from the Alexandria database. Energies are from GGA-PBE.

Values from the calculation:
symmetry	C2/m
E_form (uncorrected)	-0.9808	eV per atom

abc: 7.323 8.052 8.227
angles: 115.41 90.00 117.05
Fractional coordinates of all 11 atoms:
K (0.740, 0.479, 0.212)
K (0.260, 0.521, 0.788)
Na (0.500, 0.000, 0.500)
Ag (0.939, 0.878, 0.790)
Ag (0.061, 0.122, 0.210)
Br (0.736, 0.471, 0.610)
Br (0.188, 0.857, 0.171)
Br (0.331, 0.143, 0.829)
Br (0.812, 0.143, 0.829)
Br (0.669, 0.857, 0.171)
Br (0.264, 0.529, 0.390)

---

Here is KNbAgBr6 after structural relaxation from the Alexandria database. Energies are from GGA-PBE.

Values from the calculation:
symmetry	P-31c
E_form (uncorrected)	-0.9154	eV per atom

abc: 7.271 7.271 13.956
angles: 90.00 90.00 120.00
Site moments in Bohr magnetons follow the coordinates.
Fractional coordinates of all 18 atoms:
K (0.000, 0.000, 0.000)  0.00
K (0.000, 0.000, 0.500)  0.00
Nb (0.667, 0.333, 0.250)  0.89
Nb (0.333, 0.667, 0.750)  0.89
Ag (0.333, 0.667, 0.250)  0.00
Ag (0.667, 0.333, 0.750)  0.00
Br (0.645, 0.614, 0.142)  -0.01
Br (0.969, 0.355, 0.142)  -0.01
Br (0.355, 0.969, 0.642)  -0.01
Br (0.031, 0.645, 0.858)  -0.01
Br (0.386, 0.355, 0.358)  -0.01
Br (0.969, 0.614, 0.358)  -0.01
Br (0.614, 0.969, 0.858)  -0.01
Br (0.645, 0.031, 0.358)  -0.01
Br (0.031, 0.386, 0.642)  -0.01
Br (0.386, 0.031, 0.142)  -0.01
Br (0.614, 0.645, 0.642)  -0.01
Br (0.355, 0.386, 0.858)  -0.01

---

Number 1: raw total energy -22.6 eV per cell. Number 2: raw total energy -48.2 eV per cell. Number 3: raw total energy -47.1 eV per cell. Number 4: raw total energy -33.7 eV per cell. Number 5: raw total energy -24.2 eV per cell. Number 6: raw total energy -35.0 eV per cell. Number 7: raw total energy -30.0 eV per cell. Number 8: raw total energy -64.6 eV per cell.